[1]
Below is an optimized crystal structure of CaTl2Co, with properties calculated at the GGA-PBE level.

abc: 3.4083 3.4083 7.6145
angles: 90.00 90.00 90.00
With the nearest neighbours (Å) after each atom.
Fractional positions:
Ca: 0.0000 0.0000 0.0000  8 Tl 3.30, 4 Ca 3.41
Tl: 0.5000 0.5000 0.2966  4 Co 2.86, 1 Tl 3.10
Tl: 0.5000 0.5000 0.7034  4 Co 2.86, 1 Tl 3.10
Co: 0.0000 0.0000 0.5000  8 Tl 2.86

Summary:
The density of states at the Fermi level is 3.61 states/eV/f.u. As for the total magnetization: 1.021 Bohr magnetons per cell. The formation energy from the elements comes out at 0.115 eV per atom.

[2]
Below is an optimized crystal structure of Ti5Pd6, with properties calculated at the GGA-PBE level.

abc: 4.5401 5.6354 7.8915
angles: 110.85 106.64 90.01
With the nearest neighbours (Å) after each atom.
Fractional positions:
Ti: 0.0000 0.0000 0.0000  8 Pd 2.52-2.69
Ti: 0.3161 0.3156 0.6302  8 Pd 2.69-2.93, 2 Ti 2.82
Ti: 0.3291 0.8286 0.6567  8 Pd 2.73-2.90, 4 Ti 2.82-3.04
Ti: 0.6709 0.1714 0.3433  8 Pd 2.73-2.90, 4 Ti 2.82-3.04
Ti: 0.6839 0.6844 0.3698  8 Pd 2.69-2.93, 2 Ti 2.82
Pd: 0.1446 0.4074 0.2914  6 Ti 2.52-2.79, 1 Pd 2.69
Pd: 0.1450 0.8840 0.2916  6 Ti 2.52-2.80, 1 Pd 2.69
Pd: 0.5000 0.2572 0.0000  6 Ti 2.69-2.93, 2 Pd 2.74-2.90
Pd: 0.5000 0.7428 0.0000  6 Ti 2.69-2.93, 2 Pd 2.74-2.90
Pd: 0.8550 0.1160 0.7084  6 Ti 2.52-2.80, 1 Pd 2.69
Pd: 0.8554 0.5926 0.7086  6 Ti 2.52-2.79, 1 Pd 2.69

Summary:
The density of states at the Fermi level is 10.62 states/eV/f.u. As for the total magnetization: 0.001 Bohr magnetons per cell. The value obtained for the offset from the most stable computed form is 0 meV per atom. The formation energy from the elements comes out at -0.444 eV per atom.

[3]
Below is an optimized crystal structure of K2NaHgW, with properties calculated at the GGA-PBE level.

abc: 6.4393 6.4393 5.4484
angles: 90.00 90.00 90.00
With the nearest neighbours (Å) after each atom.
Fractional positions:
K: 0.0000 0.5000 0.0000  2 Hg 3.22
K: 0.5000 0.0000 0.0000  2 Hg 3.22
Na: 0.0000 0.0000 0.5000  8 K 4.22, 4 W 4.55
Hg: 0.5000 0.5000 0.0000  2 W 2.72
W: 0.5000 0.5000 0.5000  2 Hg 2.72

Summary:
The density of states at the Fermi level is 4.40 states/eV/f.u. As for the total magnetization: 3.968 Bohr magnetons per cell. The formation energy from the elements comes out at 1.072 eV per atom.

[4]
Below is an optimized crystal structure of ZrTe2W, with properties calculated at the GGA-PBE level.

abc: 3.5660 3.5660 7.8343
angles: 90.00 90.00 90.00
With the nearest neighbours (Å) after each atom.
Fractional positions:
Zr: 0.0000 0.0000 0.0000  5 Te 2.94-3.01, 4 W 2.97
Te: 0.0000 0.0000 0.6157  4 W 2.90, 1 Zr 3.01
Te: 0.5000 0.5000 0.1938  4 Zr 2.94, 1 W 3.09
W: 0.5000 0.5000 0.7991  5 Te 2.90-3.09, 4 Zr 2.97

Summary:
The density of states at the Fermi level is 2.12 states/eV/f.u. The value obtained for the formation energy from raw total energies is -0.13 eV per atom. As for the total magnetization: 0.000 Bohr magnetons per cell. The value obtained for the offset from the most stable computed form is 0 meV per atom.

[5]
Below is an optimized crystal structure of Os2RhPb, with properties calculated at the GGA-PBE level.

abc: 6.3223 6.3223 6.3223
angles: 153.80 139.52 48.86
With the nearest neighbours (Å) after each atom.
Fractional positions:
Os: 0.0000 0.0000 0.0000  2 Os 2.51, 4 Rh 2.72
Os: 0.8211 0.3211 0.5000  2 Os 2.51, 4 Pb 2.80
Rh: 0.5660 0.5660 0.0000  4 Os 2.72, 2 Rh 2.87, 2 Pb 2.92
Pb: 0.2344 0.7344 0.5000  6 Os 2.80-3.06, 2 Pb 2.87, 2 Rh 2.92

Summary:
The density of states at the Fermi level is 3.72 states/eV/f.u. As for the total magnetization: 0.000 Bohr magnetons per cell. The formation energy from the elements comes out at 0.775 eV per atom.

[6]
Below is an optimized crystal structure of Ac3RhI2, with properties calculated at the GGA-PBE level.

abc: 9.1237 9.1237 9.1237
angles: 152.67 138.67 50.26
With the nearest neighbours (Å) after each atom.
Fractional positions:
Ac: 0.0000 0.0000 0.0000  2 Rh 3.22
Ac: 0.3814 0.3814 0.0000  2 Rh 2.91
Ac: 0.6186 0.6186 0.0000  2 Rh 2.91
Rh: 0.5000 0.0000 0.5000  6 Ac 2.91-3.22
I: 0.1928 0.6928 0.5000  6 Ac 3.45-3.85
I: 0.8072 0.3072 0.5000  6 Ac 3.45-3.85

Summary:
The density of states at the Fermi level is 3.74 states/eV/f.u. The value obtained for the formation energy from raw total energies is -0.95 eV per atom. As for the total magnetization: 0.000 Bohr magnetons per cell.

[7]
Below is an optimized crystal structure of ReAsN2, with properties calculated at the GGA-PBE level.

abc: 6.9023 6.9023 6.9023
angles: 24.22 24.22 24.22
With the nearest neighbours (Å) after each atom.
Fractional positions:
Re: 0.0000 0.0000 0.0000  6 N 2.08
As: 0.5000 0.5000 0.5000  2 N 2.11
N: 0.3949 0.3949 0.3949  3 Re 2.08, 1 As 2.11
N: 0.6051 0.6051 0.6051  3 Re 2.08, 1 As 2.11

Summary:
The density of states at the Fermi level is 1.92 states/eV/f.u. The value obtained for the formation energy from raw total energies is 0.33 eV per atom. As for the total magnetization: 0.000 Bohr magnetons per cell.

[8]
Below is an optimized crystal structure of Nd2TmZn3, with properties calculated at the GGA-PBE level.

abc: 5.1287 5.1287 6.3093
angles: 90.00 90.00 120.00
With the nearest neighbours (Å) after each atom.
Fractional positions:
Nd: 0.3333 0.6667 0.1782  8 Zn 3.07-3.24
Nd: 0.6667 0.3333 0.8218  8 Zn 3.07-3.24
Tm: 0.0000 0.0000 0.5000  8 Zn 3.14-3.15
Zn: 0.0000 0.0000 0.0000  2 Tm 3.15, 6 Nd 3.17
Zn: 0.3333 0.6667 0.6654  5 Nd 3.07-3.24, 3 Tm 3.14
Zn: 0.6667 0.3333 0.3346  5 Nd 3.07-3.24, 3 Tm 3.14

Summary:
The density of states at the Fermi level is 6.30 states/eV/f.u. As for the total magnetization: 0.000 Bohr magnetons per cell. The formation energy from the elements comes out at -0.315 eV per atom.

[9]
Below is an optimized crystal structure of Y2InC, with properties calculated at the GGA-PBE level.

abc: 6.3361 6.3361 6.3361
angles: 110.69 110.69 107.07
With the nearest neighbours (Å) after each atom.
Fractional positions:
Y: 0.0362 0.6250 0.9112  2 C 2.34
Y: 0.3750 0.2862 0.4112  2 C 2.34
Y: 0.7138 0.1250 0.0888  2 C 2.34
Y: 0.8750 0.9638 0.5888  2 C 2.34
In: 0.2500 0.7500 0.5000  8 Y 3.18-3.55
In: 0.5000 0.5000 0.0000  8 Y 3.18-3.55
C: 0.0000 0.0000 0.0000  4 Y 2.34
C: 0.7500 0.2500 0.5000  4 Y 2.34

Summary:
The density of states at the Fermi level is 2.90 states/eV/f.u. As for the total magnetization: 0.000 Bohr magnetons per cell. The formation energy from the elements comes out at -0.075 eV per atom.

[10]
Below is an optimized crystal structure of DyMgIr2, with properties calculated at the GGA-PBE level.

abc: 3.3175 3.3175 6.4201
angles: 90.00 90.00 90.00
With the nearest neighbours (Å) after each atom.
Fractional positions:
Dy: 0.0000 0.0000 0.0000  8 Ir 2.92, 2 Mg 3.21
Mg: 0.0000 0.0000 0.5000  8 Ir 2.77
Ir: 0.5000 0.5000 0.2706  4 Mg 2.77, 4 Dy 2.92, 1 Ir 2.95
Ir: 0.5000 0.5000 0.7294  4 Mg 2.77, 4 Dy 2.92, 1 Ir 2.95

Summary:
The density of states at the Fermi level is 0.49 states/eV/f.u. As for the total magnetization: 0.000 Bohr magnetons per cell. The formation energy from the elements comes out at -0.565 eV per atom.

[11]
Below is an optimized crystal structure of Ce4PuGa, with properties calculated at the GGA-PBE level.

abc: 7.6089 7.6089 7.6089
angles: 108.39 108.39 111.66
With the nearest neighbours (Å) after each atom.
Fractional positions:
Ce: 0.1246 0.4388 0.6858  1 Pu 2.40
Ce: 0.1888 0.0030 0.8142  1 Pu 2.40
Ce: 0.1888 0.3746 0.1858  1 Pu 2.40
Ce: 0.2895 0.0000 0.2895  2 Pu 2.58-2.75
Ce: 0.7105 0.0000 0.7105  2 Pu 2.58-2.75
Ce: 0.7500 0.5395 0.7895  2 Pu 2.58-2.75
Ce: 0.7500 0.9605 0.2105  2 Pu 2.58-2.75
Ce: 0.7530 0.4388 0.3142  1 Pu 2.40
Pu: 0.7350 0.2350 0.5000  4 Ce 2.40-2.58
Pu: 0.9850 0.9850 0.0000  4 Ce 2.40-2.58
Ga: 0.2347 0.7347 0.5000  6 Ce 2.82-3.02
Ga: 0.4847 0.4847 0.0000  6 Ce 2.82-3.02

Summary:
The density of states at the Fermi level is 12.34 states/eV/f.u. As for the total magnetization: 0.015 Bohr magnetons per cell. The value obtained for the offset from the most stable computed form is 128 meV per atom. The formation energy from the elements comes out at 0.034 eV per atom.

[12]
Below is an optimized crystal structure of Ta3NbZn, with properties calculated at the GGA-PBE level.

abc: 4.8789 4.8789 4.8789
angles: 90.00 90.00 90.00
With the nearest neighbours (Å) after each atom.
Fractional positions:
Ta: 0.0000 0.0000 0.5000  2 Nb 2.44
Ta: 0.0000 0.5000 0.0000  2 Nb 2.44
Ta: 0.5000 0.0000 0.0000  2 Nb 2.44
Nb: 0.0000 0.0000 0.0000  6 Ta 2.44
Zn: 0.5000 0.5000 0.5000  12 Ta 3.45

Summary:
The density of states at the Fermi level is 5.71 states/eV/f.u. As for the total magnetization: 0.000 Bohr magnetons per cell. The value obtained for the offset from the most stable computed form is 387 meV per atom. The formation energy from the elements comes out at 1.684 eV per atom.